Record 1
The following is a DFT calculation (PBEsol) of a relaxed In3Hg crystal.

abc: 3.3470 5.9681 5.9681
angles: 116.59 100.77 100.77
Atoms (fractional coordinates):
Hg  0.0000  0.0000  0.0000
In  0.5000  0.0000  0.5000
In  0.5000  0.5000  0.0000
In  0.0000  0.5000  0.5000

Summary:
The calculation puts the total magnetization at 0.0 μB/cell. The energy is -2.374 eV per atom. As for the space group: R-3m (166). The calculation puts the energy of formation at 5 meV/atom.


Record 2
The following is a DFT calculation (PBEsol) of a relaxed Sr2W crystal.

abc: 3.1099 7.8949 8.0026
angles: 90.00 90.00 90.00
Last column: magnetic moment on the atom in μB.
Atoms (fractional coordinates):
Sr  0.0000  0.2126  0.6867  0.01
Sr  0.0000  0.7874  0.3133  0.01
Sr  0.5000  0.7126  0.8133  0.01
Sr  0.5000  0.2874  0.1867  0.01
W  0.0000  0.0000  0.0000  0.46
W  0.5000  0.5000  0.5000  0.46

Summary:
The calculation puts the total magnetization at 1.1 μB/cell. The energy is -4.380 eV per atom. As for the space group: Pnnm (58). The calculation puts the energy of formation at 1449 meV/atom.


Record 3
The following is a DFT calculation (PBEsol) of a relaxed CaRhBr crystal.

abc: 3.5342 3.5342 6.0165
angles: 90.00 90.00 120.00
Last column: magnetic moment on the atom in μB.
Atoms (fractional coordinates):
Ca  0.3333  0.6667  0.6608  -0.01
Rh  0.6667  0.3333  0.3294  0.47
Br  0.0000  0.0000  0.0098  0.02

Summary:
The calculation puts the total magnetization at 0.5 μB/cell. The energy is -4.237 eV per atom. As for the space group: P3m1 (156). The energy relative to the elements, uncorrected comes out at -0.190 eV/atom.


Record 4
The following is a DFT calculation (PBEsol) of a relaxed Fe3Co2 crystal.

abc: 2.7848 2.7848 7.3029
angles: 100.99 100.99 90.00
Last column: magnetic moment on the atom in μB.
Atoms (fractional coordinates):
Co  0.8010  0.8010  0.6019  1.75
Co  0.1990  0.1990  0.3981  1.75
Fe  0.6012  0.6012  0.2025  2.57
Fe  0.0000  0.0000  0.0000  2.42
Fe  0.3988  0.3988  0.7975  2.57

Summary:
The calculation puts the total magnetization at 11.0 μB/cell. The energy is -8.441 eV per atom. As for the space group: I4/mmm (139). The calculation puts the energy of formation at 32 meV/atom.


Record 5
The following is a DFT calculation (PBEsol) of a relaxed Na6Cr2B4SO16 crystal.

abc: 9.7661 9.7661 9.7661
angles: 60.00 60.00 60.00
Last column: magnetic moment on the atom in μB.
Atoms (fractional coordinates):
Na  0.2198  0.7802  0.2198  0.00
Na  0.4698  0.0302  0.0302  0.00
Na  0.7802  0.7802  0.2198  0.00
Na  0.2198  0.2198  0.7802  0.00
Na  0.0302  0.4698  0.4698  0.00
Na  0.4698  0.0302  0.4698  0.00
Na  0.2198  0.7802  0.7802  0.00
Na  0.7802  0.2198  0.7802  0.00
Na  0.4698  0.4698  0.0302  0.00
Na  0.0302  0.0302  0.4698  0.00
Na  0.7802  0.2198  0.2198  0.00
Na  0.0302  0.4698  0.0302  0.00
Cr  0.6250  0.6250  0.6250  2.01
Cr  0.1250  0.6250  0.6250  2.01
Cr  0.6250  0.6250  0.1250  2.01
Cr  0.6250  0.1250  0.6250  2.01
B  0.4141  0.4141  0.4141  0.01
B  0.7576  0.4141  0.4141  0.01
B  0.4141  0.7576  0.4141  0.01
B  0.4141  0.4141  0.7576  0.01
B  0.8359  0.8359  0.4924  0.01
B  0.8359  0.4924  0.8359  0.01
B  0.4924  0.8359  0.8359  0.01
B  0.8359  0.8359  0.8359  0.01
S  0.0000  0.0000  0.0000  0.00
S  0.2500  0.2500  0.2500  0.00
O  0.4867  0.8010  0.9934  -0.02
O  0.7190  0.9934  0.8010  -0.02
O  0.4490  0.5310  0.2566  -0.02
O  0.2566  0.4490  0.5310  -0.02
O  0.0624  0.0624  0.8127  0.00
O  0.5310  0.7633  0.2566  -0.02
O  0.2566  0.7633  0.4490  -0.02
O  0.0624  0.8127  0.0624  0.00
O  0.8127  0.0624  0.0624  0.00
O  0.7633  0.2566  0.5310  -0.02
O  0.7633  0.5310  0.4490  -0.02
O  0.0624  0.0624  0.0624  0.00
O  0.4490  0.2566  0.7633  -0.02
O  0.4490  0.7633  0.5310  -0.02
O  0.2566  0.5310  0.7633  -0.02
O  0.7190  0.8010  0.4867  -0.02
O  0.5310  0.4490  0.7633  -0.02
O  0.9934  0.7190  0.4867  -0.02
O  0.8010  0.4867  0.7190  -0.02
O  0.8010  0.9934  0.4867  -0.02
O  0.1876  0.1876  0.1876  0.00
O  0.4867  0.7190  0.8010  -0.02
O  0.4867  0.9934  0.7190  -0.02
O  0.1876  0.4373  0.1876  0.00
O  0.4373  0.1876  0.1876  0.00
O  0.9934  0.4867  0.8010  -0.02
O  0.7190  0.4867  0.9934  -0.02
O  0.1876  0.1876  0.4373  0.00
O  0.9934  0.8010  0.7190  -0.02
O  0.8010  0.7190  0.9934  -0.02
O  0.5310  0.2566  0.4490  -0.02
O  0.7633  0.4490  0.2566  -0.02

Summary:
The calculation puts the total magnetization at 8.0 μB/cell. The energy is -7.066 eV per atom. As for the space group: Fd-3 (203). The energy relative to the elements, uncorrected comes out at -2.055 eV/atom.


Record 6
The following is a DFT calculation (PBEsol) of a relaxed Te2Mo3WS6 crystal.

abc: 3.2198 3.2198 25.8887
angles: 90.00 90.00 120.00
Atoms (fractional coordinates):
Te  0.3333  0.6667  0.1754
Te  0.3333  0.6667  0.3240
Mo  0.3333  0.6667  0.9907
Mo  0.3333  0.6667  0.5081
Mo  0.0000  0.0000  0.2497
W  0.0000  0.0000  0.7486
S  0.3333  0.6667  0.6890
S  0.0000  0.0000  0.0498
S  0.0000  0.0000  0.5672
S  0.0000  0.0000  0.9316
S  0.0000  0.0000  0.4489
S  0.3333  0.6667  0.8082

Summary:
The calculation puts the total magnetization at 0.0 μB/cell. The energy is -7.595 eV per atom. As for the space group: P3m1 (156). The energy relative to the elements, uncorrected comes out at -0.723 eV/atom.


Record 7
The following is a DFT calculation (PBEsol) of a relaxed CuNi2Os crystal.

abc: 2.5300 2.5300 8.2779
angles: 90.00 90.00 115.70
Atoms (fractional coordinates):
Cu  0.5000  0.5000  0.0000
Ni  0.0000  0.0000  0.2437
Ni  0.0000  0.0000  0.7563
Os  0.5000  0.5000  0.5000

Summary:
The calculation puts the total magnetization at 0.0 μB/cell. The energy is -6.938 eV per atom. As for the space group: Cmmm (65). The calculation puts the energy of formation at 278 meV/atom.


Record 8
The following is a DFT calculation (PBEsol) of a relaxed NdS3 crystal.

abc: 5.4959 5.6781 5.6781
angles: 120.00 90.00 90.00
Atoms (fractional coordinates):
Nd  0.2500  0.6667  0.3333
Nd  0.7500  0.3333  0.6667
S  0.7500  0.8243  0.1757
S  0.7500  0.8243  0.6487
S  0.7500  0.3513  0.1757
S  0.2500  0.1757  0.8243
S  0.2500  0.1757  0.3513
S  0.2500  0.6487  0.8243

Summary:
The calculation puts the total magnetization at 0.0 μB/cell. The energy is -5.517 eV per atom. As for the space group: P6_3/mmc (194). The energy relative to the elements, uncorrected comes out at -0.937 eV/atom.


Record 9
The following is a DFT calculation (PBEsol) of a relaxed LaZrTl2Os crystal.

abc: 4.7655 5.4397 5.4397
angles: 90.00 90.00 90.00
Atoms (fractional coordinates):
Tl  0.0000  0.0000  0.5000
Tl  0.0000  0.5000  0.0000
Os  0.5000  0.0000  0.0000
Zr  0.0000  0.0000  0.0000
La  0.5000  0.5000  0.5000

Summary:
The calculation puts the total magnetization at 0.0 μB/cell. The energy is -5.776 eV per atom. As for the space group: P4/mmm (123). The calculation puts the energy of formation at 607 meV/atom.


Record 10
The following is a DFT calculation (PBEsol) of a relaxed Ta3Co5 crystal.

abc: 3.8267 5.1725 5.1725
angles: 96.69 90.00 90.00
Atoms (fractional coordinates):
Co  0.0000  0.0000  0.0000
Co  0.0000  0.5000  0.0000
Co  0.0000  0.0000  0.5000
Co  0.5000  0.7271  0.7271
Co  0.5000  0.2729  0.2729
Ta  0.0000  0.5000  0.5000
Ta  0.5000  0.7891  0.2109
Ta  0.5000  0.2109  0.7891

Summary:
The calculation puts the total magnetization at 0.0 μB/cell. The energy is -9.741 eV per atom. As for the space group: Cmmm (65). The calculation puts the energy of formation at -199 meV/atom.


Record 11
The following is a DFT calculation (PBEsol) of a relaxed BaZnRh2 crystal.

abc: 3.0774 4.9630 5.8000
angles: 115.33 105.38 90.00
Atoms (fractional coordinates):
Ba  0.2529  0.7529  0.5058
Rh  0.0336  0.0336  0.0672
Rh  0.7498  0.2498  0.4996
Zn  0.4637  0.4637  0.9274

Summary:
The calculation puts the total magnetization at 0.0 μB/cell. The energy is -4.736 eV per atom. As for the space group: Imm2 (44). The calculation puts the energy of formation at 266 meV/atom.


Record 12
The following is a DFT calculation (PBEsol) of a relaxed ZrC crystal.

abc: 3.2155 3.2148 5.9798
angles: 105.59 105.60 90.00
Atoms (fractional coordinates):
C  0.6251  0.3751  0.2502
C  0.3749  0.6249  0.7498
Zr  0.1251  0.8751  0.2501
Zr  0.8749  0.1249  0.7499

Summary:
The calculation puts the total magnetization at 0.0 μB/cell. The energy is -9.256 eV per atom. As for the space group: I4_1/amd (141). The calculation puts the energy of formation at 111 meV/atom.


Which formula does entry 5 have? Na6Cr2B4SO16